No. 1
The following is a PBE with a Hubbard U calculation of a geometry-optimized In2FeF structure, from Alexandria via LeMat-Bulk.

uncorrected energy	-13.565	eV per cell
volume	18.97	A^3/atom
energy above the lowest structure with this stoichiometry	0.053	eV per atom

a b c (Å): 4.7524 4.7524 4.7524
angles (deg): 60.00 60.00 60.00
Last column: nearest neighbours and their distance in Å.
Fractional positions:
In 0.2500 0.2500 0.2500  4 F 2.91, 4 Fe 2.91
In 0.7500 0.7500 0.7500  4 F 2.91, 4 Fe 2.91
Fe 0.0000 0.0000 0.0000  8 In 2.91
F 0.5000 0.5000 0.5000  8 In 2.91

=====

No. 2
The following is a PBE with a Hubbard U calculation of a geometry-optimized InFeF3 structure, from Alexandria via LeMat-Bulk.

uncorrected energy	-23.189	eV per cell
volume	15.00	A^3/atom
energy above the lowest structure with this stoichiometry	0.000	eV per atom

a b c (Å): 4.2167 4.2167 4.2167
angles (deg): 90.00 90.00 90.00
Last column: nearest neighbours and their distance in Å.
Fractional positions:
In 0.0000 0.0000 0.0000  12 F 2.98
Fe 0.5000 0.5000 0.5000  6 F 2.11
F 0.0000 0.5000 0.5000  2 Fe 2.11
F 0.5000 0.0000 0.5000  2 Fe 2.11
F 0.5000 0.5000 0.0000  2 Fe 2.11

=====

No. 3
The following is a PBE with a Hubbard U calculation of a geometry-optimized InFeF2 structure, from Alexandria via LeMat-Bulk.

uncorrected energy	-16.416	eV per cell
volume	14.94	A^3/atom
energy above the lowest structure with this stoichiometry	0.377	eV per atom

a b c (Å): 4.3884 4.3884 4.3884
angles (deg): 60.00 60.00 60.00
Last column: nearest neighbours and their distance in Å.
Fractional positions:
In 0.0000 0.0000 0.0000  8 F 2.69
Fe 0.5000 0.5000 0.5000  8 F 2.69
F 0.2500 0.2500 0.2500  4 In 2.69, 4 Fe 2.69
F 0.7500 0.7500 0.7500  4 In 2.69, 4 Fe 2.69

=====

No. 4
The following is a PBE with a Hubbard U calculation of a geometry-optimized InFeF2 structure, from Alexandria via LeMat-Bulk.

uncorrected energy	-35.783	eV per cell
volume	21.51	A^3/atom
energy above the lowest structure with this stoichiometry	0.008	eV per atom

a b c (Å): 6.6497 6.6497 6.6497
angles (deg): 129.19 129.19 74.71
Last column: nearest neighbours and their distance in Å.
Fractional positions:
In 0.0000 0.0000 0.0000  4 F 3.09
In 0.7500 0.2500 0.5000  4 F 3.09
Fe 0.2500 0.7500 0.5000  4 F 2.00
Fe 0.5000 0.5000 0.0000  4 F 2.00
F 0.2964 0.6250 0.1714  2 Fe 2.00
F 0.3750 0.5464 0.6714  2 Fe 2.00
F 0.4536 0.1250 0.8286  2 Fe 2.00
F 0.8750 0.7036 0.3286  2 Fe 2.00